NaInBi2: optimized geometry, GGA-PBE.

Values from the calculation:
crystal system	tetragonal
total moment	0.00	μB per formula unit
energy of formation	-0.133	eV/atom

Structure (CIF):
```
data_NaInBi2
_chemical_formula_sum 'Na1 In1 Bi2'
_symmetry_space_group_name_H-M 'P 4/m m m'
_symmetry_Int_Tables_number 123
_symmetry_space_group_name_Hall '-P 4 2'
_cell_length_a 4.926
_cell_length_b 4.926
_cell_length_c 4.876
_cell_angle_alpha 90.00
_cell_angle_beta 90.00
_cell_angle_gamma 90.00
loop_
_atom_site_label
_atom_site_fract_x
_atom_site_fract_y
_atom_site_fract_z
Na1 0.000 0.000 0.000
In1 0.500 0.500 0.000
Bi1 0.000 0.500 0.500
```